# Ba2LaGa

A geometry-optimized Ba2LaGa structure (PBE, Alexandria via LeMat-Bulk).

```
data_Ba2LaGa
_chemical_formula_sum 'Ba2 La1 Ga1'
_space_group_name_H-M_alt 'P 1'
_space_group_IT_number 1
_space_group_name_Hall 'P 1'
_cell_length_a 12.822
_cell_length_b 12.822
_cell_length_c 12.822
_cell_angle_alpha 17.83
_cell_angle_beta 17.83
_cell_angle_gamma 17.83
loop_
_atom_site_label
_atom_site_type_symbol
_atom_site_fract_x
_atom_site_fract_y
_atom_site_fract_z
_atom_site_occupancy
Ba1 Ba 0.101 0.101 0.101 1
Ba2 Ba 0.899 0.899 0.899 1
La1 La 0.000 0.000 0.000 1
Ga1 Ga 0.500 0.500 0.500 1
```

## Properties
The space-group type is R-3m. The value obtained for the density of states at the Fermi level is 1.451 states/eV per atom. The energy of formation from the pure elements comes out at 152 meV/atom.

***

# BaZn2Cu

A geometry-optimized BaZn2Cu structure (PBE, Alexandria via LeMat-Bulk).

```
data_BaZn2Cu
_chemical_formula_sum 'Ba2 Zn4 Cu2'
_space_group_name_H-M_alt 'P 1'
_space_group_IT_number 1
_space_group_name_Hall 'P 1'
_cell_length_a 9.428
_cell_length_b 9.428
_cell_length_c 9.428
_cell_angle_alpha 149.31
_cell_angle_beta 149.31
_cell_angle_gamma 43.95
loop_
_atom_site_label
_atom_site_type_symbol
_atom_site_fract_x
_atom_site_fract_y
_atom_site_fract_z
_atom_site_occupancy
Ba1 Ba 0.375 0.625 0.750 1
Ba2 Ba 0.625 0.375 0.250 1
Zn1 Zn 0.000 0.000 0.000 1
Zn2 Zn 0.000 0.000 0.500 1
Zn3 Zn 0.000 0.500 0.000 1
Zn4 Zn 0.500 0.000 0.500 1
Cu1 Cu 0.125 0.875 0.250 1
Cu2 Cu 0.875 0.125 0.750 1
```

## Properties
The space-group type is I4_1/amd. The value obtained for the density of states at the Fermi level is 0.754 states/eV per atom. The energy of formation from the pure elements comes out at -32 meV/atom.

***

# Sc2UTl3S6

A geometry-optimized Sc2UTl3S6 structure (PBE, Alexandria via LeMat-Bulk).

```
data_Sc2UTl3S6
_chemical_formula_sum 'Sc2 U1 Tl3 S6'
_space_group_name_H-M_alt 'P 1'
_space_group_IT_number 1
_space_group_name_Hall 'P 1'
_cell_length_a 6.705
_cell_length_b 6.705
_cell_length_c 7.954
_cell_angle_alpha 98.09
_cell_angle_beta 98.09
_cell_angle_gamma 119.98
loop_
_atom_site_label
_atom_site_type_symbol
_atom_site_fract_x
_atom_site_fract_y
_atom_site_fract_z
_atom_site_occupancy
Sc1 Sc 0.167 0.833 0.000 1
Sc2 Sc 0.833 0.167 0.000 1
U1 U 0.500 0.500 0.000 1
Tl1 Tl 0.000 0.000 0.500 1
Tl2 Tl 0.334 0.666 0.500 1
Tl3 Tl 0.666 0.334 0.500 1
S1 S 0.093 0.437 0.812 1
S2 S 0.218 0.218 0.188 1
S3 S 0.437 0.093 0.812 1
S4 S 0.563 0.907 0.188 1
S5 S 0.782 0.782 0.812 1
S6 S 0.907 0.563 0.188 1
```

## Properties
The space-group type is C2/m. The value obtained for the density of states at the Fermi level is 0.728 states/eV per atom. The value obtained for the energy relative to the elements, uncorrected is -1.2362 eV per atom.

***

| no. | raw total energy (Ha/atom) |
| --- | --- |
| 1 | -0.103 |
| 2 | -0.080 |
| 3 | -0.216 |